Below is an optimized crystal structure of MnGaNi2O5, with properties calculated at the PBE+U level.

As for the uncorrected energy: -5.77 eV per atom. The value obtained for the total magnetization is 0.89 μB per atom. The calculation puts the density of states at the Fermi level at 0.0456 states/eV per atom.

Unit cell a=8.320 b=8.320 c=8.246 alpha=90.00 beta=90.00 gamma=159.59
Sites, in units of the cell vectors:
Mn (0.116, 0.884, 0.500)
Mn (0.884, 0.116, 0.000)
Ga (0.214, 0.786, 0.171)
Ga (0.786, 0.214, 0.671)
Ni (0.431, 0.569, 0.381)
Ni (0.444, 0.556, 0.692)
Ni (0.556, 0.444, 0.192)
Ni (0.569, 0.431, 0.881)
O (0.021, 0.979, 0.355)
O (0.116, 0.884, 0.037)
O (0.219, 0.781, 0.613)
O (0.336, 0.664, 0.817)
O (0.432, 0.568, 0.138)
O (0.568, 0.432, 0.638)
O (0.664, 0.336, 0.317)
O (0.781, 0.219, 0.113)
O (0.884, 0.116, 0.537)
O (0.979, 0.021, 0.855)